Entry 1:
Entry from Alexandria via LeMat-Bulk: a relaxed ZnNi2As crystal (PBE).

symmetry	No. 160
calculated density	7.63	Mg/m³
M_tot	0.00	μB per formula unit
formation enthalpy at 0 K	0.10	eV per atom
distance to the lowest polymorph of the same formula	0.313	eV per atom
Fermi-level density of states	2.764	states/eV/cell

abc: 8.277 8.277 8.277
angles: 19.65 19.65 19.65
Fractional positions:
Zn: 0.000 0.000 0.000
Ni: 0.256 0.256 0.256
Ni: 0.510 0.510 0.510
As: 0.773 0.773 0.773

***

Entry 2:
Entry from Alexandria via LeMat-Bulk: a relaxed AsIrCl crystal (PBE).

symmetry	No. 216
formation energy without anion corrections	0.20	eV per atom
calculated density	8.91	Mg/m³
M_tot	0.00	μB per formula unit
distance to the lowest polymorph of the same formula	0.370	eV per atom
Fermi-level density of states	2.577	states/eV/cell

abc: 4.304 4.304 4.304
angles: 60.00 60.00 60.00
Fractional positions:
As: 0.000 0.000 0.000
Ir: 0.750 0.750 0.750
Cl: 0.500 0.500 0.500

***

Entry 3:
Entry from Alexandria via LeMat-Bulk: a relaxed Cu2Ni2W crystal (PBE).

symmetry	No. 139
calculated density	11.08	Mg/m³
M_tot	0.00	μB per formula unit
formation enthalpy at 0 K	0.58	eV per atom
distance to the lowest polymorph of the same formula	0.352	eV per atom
Fermi-level density of states	5.158	states/eV/cell

abc: 6.031 6.031 6.031
angles: 147.18 147.18 47.10
Fractional positions:
Cu: 0.102 0.102 0.000
Cu: 0.898 0.898 0.000
Ni: 0.250 0.750 0.500
Ni: 0.750 0.250 0.500
W: 0.500 0.500 0.000

***

Entry 4:
Entry from Alexandria via LeMat-Bulk: a relaxed Y2HfP3 crystal (PBE).

symmetry	No. 139
calculated density	5.94	Mg/m³
M_tot	0.00	μB per formula unit
formation enthalpy at 0 K	-1.47	eV per atom
Fermi-level density of states	1.390	states/eV/cell

abc: 8.692 8.692 8.692
angles: 154.04 154.04 37.04
Fractional positions:
Y: 0.167 0.167 0.000
Y: 0.833 0.833 0.000
Hf: 0.500 0.500 0.000
P: 0.000 0.000 0.000
P: 0.340 0.340 0.000
P: 0.660 0.660 0.000

***

Entry 5:
Entry from Alexandria via LeMat-Bulk: a relaxed Sc2Zn3Ga2 crystal (PBE).

symmetry	No. 12
calculated density	5.79	Mg/m³
M_tot	0.00	μB per formula unit
formation enthalpy at 0 K	-0.40	eV per atom
distance to the lowest polymorph of the same formula	0.000	eV per atom
Fermi-level density of states	4.034	states/eV/cell

abc: 5.423 5.423 6.421
angles: 111.52 111.52 44.78
Fractional positions:
Sc: 0.151 0.151 0.268
Sc: 0.849 0.849 0.732
Zn: 0.405 0.405 0.074
Zn: 0.500 0.500 0.500
Zn: 0.595 0.595 0.926
Ga: 0.149 0.149 0.732
Ga: 0.851 0.851 0.268

***

Entry 6:
Entry from Alexandria via LeMat-Bulk: a relaxed SmHPb crystal (PBE).

symmetry	No. 187
calculated density	9.21	Mg/m³
M_tot	0.00	μB per formula unit
distance to the lowest polymorph of the same formula	0.000	eV per atom
Fermi-level density of states	0.871	states/eV/cell

abc: 3.770 3.770 5.253
angles: 90.00 90.00 120.00
Fractional positions:
Sm: 0.000 0.000 0.000
H: 0.333 0.667 0.000
Pb: 0.667 0.333 0.500

***

Entry 7:
Entry from Alexandria via LeMat-Bulk: a relaxed Na2HgSb2 crystal (PBE).

symmetry	No. 127
formation energy without anion corrections	-0.17	eV per atom
calculated density	5.47	Mg/m³
M_tot	0.00	μB per formula unit
distance to the lowest polymorph of the same formula	0.092	eV per atom
Fermi-level density of states	6.460	states/eV/cell

abc: 9.413 9.413 3.358
angles: 90.00 90.00 90.00
Fractional positions:
Na: 0.185 0.315 0.000
Na: 0.315 0.815 0.000
Na: 0.685 0.185 0.000
Na: 0.815 0.685 0.000
Hg: 0.000 0.000 0.000
Hg: 0.500 0.500 0.000
Sb: 0.108 0.608 0.500
Sb: 0.392 0.108 0.500
Sb: 0.608 0.892 0.500
Sb: 0.892 0.392 0.500

***

Entry 8:
Entry from Alexandria via LeMat-Bulk: a relaxed ZnSbPO2 crystal (PBE).

symmetry	No. 123
formation energy without anion corrections	0.02	eV per atom
calculated density	5.64	Mg/m³
M_tot	0.31	μB per formula unit
distance to the lowest polymorph of the same formula	0.395	eV per atom
Fermi-level density of states	3.712	states/eV/cell

abc: 3.927 3.927 4.776
angles: 90.00 90.00 90.00
Fractional positions:
Zn: 0.000 0.000 0.000
Sb: 0.500 0.500 0.500
P: 0.000 0.000 0.500
O: 0.000 0.500 0.000
O: 0.500 0.000 0.000